*P*
VASP calculation (meta-GGA SCAN) on a PBEsol-optimized structure of SbPCl2.

Structure (CIF):
```
data_SbPCl2
_symmetry_space_group_name_H-M 'P 1'
_symmetry_Int_Tables_number 1
_cell_length_a 4.267
_cell_length_b 4.267
_cell_length_c 9.719
_cell_angle_alpha 102.68
_cell_angle_beta 102.68
_cell_angle_gamma 90.00
loop_
_symmetry_equiv_pos_as_xyz
'x,y,z'
loop_
_atom_site_label
_atom_site_fract_x
_atom_site_fract_y
_atom_site_fract_z
Sb1 0.250 0.750 0.500
Cl1 0.625 0.619 0.750
P1 0.500 0.500 0.000
Sb2 0.000 0.000 0.000
Cl2 0.381 0.875 0.250
Cl3 0.125 0.131 0.750
P2 0.750 0.250 0.500
Cl4 0.869 0.375 0.250
```

---

*Q*
VASP calculation (meta-GGA SCAN) on a PBEsol-optimized structure of SbPCl2.

Structure (CIF):
```
data_SbPCl2
_symmetry_space_group_name_H-M 'P 1'
_symmetry_Int_Tables_number 1
_cell_length_a 3.550
_cell_length_b 4.388
_cell_length_c 6.815
_cell_angle_alpha 108.78
_cell_angle_beta 105.10
_cell_angle_gamma 90.00
loop_
_symmetry_equiv_pos_as_xyz
'x,y,z'
loop_
_atom_site_label
_atom_site_fract_x
_atom_site_fract_y
_atom_site_fract_z
P1 0.528 0.528 0.056
Cl1 0.025 0.025 0.049
Sb1 0.182 0.682 0.364
Cl2 0.765 0.265 0.531
```

---

Quick look at relative energies in meV per atom: *P* 112; *Q* 0.

---

*P*
VASP calculation (meta-GGA SCAN) on a PBEsol-optimized structure of SbPCl2.

Structure (CIF):
```
data_SbPCl2
_symmetry_space_group_name_H-M 'P 1'
_symmetry_Int_Tables_number 1
_cell_length_a 3.178
_cell_length_b 3.268
_cell_length_c 10.172
_cell_angle_alpha 90.00
_cell_angle_beta 90.00
_cell_angle_gamma 119.09
loop_
_symmetry_equiv_pos_as_xyz
'x,y,z'
loop_
_atom_site_label
_atom_site_fract_x
_atom_site_fract_y
_atom_site_fract_z
Cl1 0.000 0.000 0.324
Cl2 0.000 0.000 0.676
P1 0.500 0.000 0.500
Sb1 0.500 0.000 0.000
```

---

*Q*
VASP calculation (meta-GGA SCAN) on a PBEsol-optimized structure of SbPCl2.

Structure (CIF):
```
data_SbPCl2
_symmetry_space_group_name_H-M 'P 1'
_symmetry_Int_Tables_number 1
_cell_length_a 4.228
_cell_length_b 4.228
_cell_length_c 5.299
_cell_angle_alpha 113.51
_cell_angle_beta 113.51
_cell_angle_gamma 90.00
loop_
_symmetry_equiv_pos_as_xyz
'x,y,z'
loop_
_atom_site_label
_atom_site_fract_x
_atom_site_fract_y
_atom_site_fract_z
Cl1 0.750 0.250 0.500
P1 0.500 0.500 0.000
Cl2 0.250 0.750 0.500
Sb1 0.000 0.000 0.000
```

---

Quick look at relative energies in meV per atom: *P* 0; *Q* 198.

---

*P*
VASP calculation (meta-GGA SCAN) on a PBEsol-optimized structure of PSeCl2.

Structure (CIF):
```
data_PSeCl2
_symmetry_space_group_name_H-M 'P 1'
_symmetry_Int_Tables_number 1
_cell_length_a 3.102
_cell_length_b 3.102
_cell_length_c 9.535
_cell_angle_alpha 80.64
_cell_angle_beta 80.64
_cell_angle_gamma 60.00
loop_
_symmetry_equiv_pos_as_xyz
'x,y,z'
loop_
_atom_site_label
_atom_site_fract_x
_atom_site_fract_y
_atom_site_fract_z
P1 0.500 0.500 0.500
Se1 0.000 0.000 0.000
Cl1 0.769 0.769 0.694
Cl2 0.231 0.231 0.306
```

---

*Q*
VASP calculation (meta-GGA SCAN) on a PBEsol-optimized structure of PSeCl2.

Structure (CIF):
```
data_PSeCl2
_symmetry_space_group_name_H-M 'P 1'
_symmetry_Int_Tables_number 1
_cell_length_a 2.948
_cell_length_b 5.050
_cell_length_c 5.050
_cell_angle_alpha 108.15
_cell_angle_beta 90.00
_cell_angle_gamma 90.00
loop_
_symmetry_equiv_pos_as_xyz
'x,y,z'
loop_
_atom_site_label
_atom_site_fract_x
_atom_site_fract_y
_atom_site_fract_z
Cl1 0.000 0.000 0.500
Cl2 0.000 0.500 0.000
P1 0.500 0.000 0.000
Se1 0.500 0.500 0.500
```

---

*R*
VASP calculation (meta-GGA SCAN) on a PBEsol-optimized structure of PSeCl2.

Structure (CIF):
```
data_PSeCl2
_symmetry_space_group_name_H-M 'P 1'
_symmetry_Int_Tables_number 1
_cell_length_a 4.187
_cell_length_b 4.187
_cell_length_c 5.030
_cell_angle_alpha 114.59
_cell_angle_beta 114.59
_cell_angle_gamma 90.00
loop_
_symmetry_equiv_pos_as_xyz
'x,y,z'
loop_
_atom_site_label
_atom_site_fract_x
_atom_site_fract_y
_atom_site_fract_z
Cl1 0.750 0.250 0.500
P1 0.500 0.500 0.000
Cl2 0.250 0.750 0.500
Se1 0.000 0.000 0.000
```

---

Quick look at relative energies in meV per atom: *P* 0; *Q* 299; *R* 282.

---

*P*
VASP calculation (meta-GGA SCAN) on a PBEsol-optimized structure of PSe2Cl.

Structure (CIF):
```
data_PSe2Cl
_symmetry_space_group_name_H-M 'P 1'
_symmetry_Int_Tables_number 1
_cell_length_a 3.458
_cell_length_b 4.075
_cell_length_c 7.510
_cell_angle_alpha 90.00
_cell_angle_beta 90.00
_cell_angle_gamma 115.10
loop_
_symmetry_equiv_pos_as_xyz
'x,y,z'
loop_
_atom_site_label
_atom_site_fract_x
_atom_site_fract_y
_atom_site_fract_z
Se1 0.000 0.000 0.980
Se2 0.500 0.000 0.235
P1 0.500 0.000 0.764
Cl1 0.000 0.000 0.520
```

---

*Q*
VASP calculation (meta-GGA SCAN) on a PBEsol-optimized structure of PSe2Cl.

Structure (CIF):
```
data_PSe2Cl
_symmetry_space_group_name_H-M 'P 1'
_symmetry_Int_Tables_number 1
_cell_length_a 3.651
_cell_length_b 3.651
_cell_length_c 6.500
_cell_angle_alpha 90.00
_cell_angle_beta 90.00
_cell_angle_gamma 90.00
loop_
_symmetry_equiv_pos_as_xyz
'x,y,z'
loop_
_atom_site_label
_atom_site_fract_x
_atom_site_fract_y
_atom_site_fract_z
Se1 0.000 0.500 0.000
P1 0.000 0.000 0.500
Se2 0.500 0.000 0.000
Cl1 0.500 0.500 0.500
```

---

*R*
VASP calculation (meta-GGA SCAN) on a PBEsol-optimized structure of PSe2Cl.

Structure (CIF):
```
data_PSe2Cl
_symmetry_space_group_name_H-M 'P 1'
_symmetry_Int_Tables_number 1
_cell_length_a 6.124
_cell_length_b 6.124
_cell_length_c 6.124
_cell_angle_alpha 105.51
_cell_angle_beta 111.49
_cell_angle_gamma 111.49
loop_
_symmetry_equiv_pos_as_xyz
'x,y,z'
loop_
_atom_site_label
_atom_site_fract_x
_atom_site_fract_y
_atom_site_fract_z
Cl1 0.000 0.000 0.000
Cl2 0.500 0.750 0.250
Se1 0.064 0.189 0.625
Se2 0.936 0.561 0.125
P1 0.000 0.500 0.500
Se3 0.564 0.375 0.439
Se4 0.436 0.875 0.811
P2 0.500 0.250 0.750
```

---

*S*
VASP calculation (meta-GGA SCAN) on a PBEsol-optimized structure of PSe2Cl.

Structure (CIF):
```
data_PSe2Cl
_symmetry_space_group_name_H-M 'P 1'
_symmetry_Int_Tables_number 1
_cell_length_a 3.003
_cell_length_b 5.947
_cell_length_c 5.947
_cell_angle_alpha 67.36
_cell_angle_beta 75.38
_cell_angle_gamma 75.38
loop_
_symmetry_equiv_pos_as_xyz
'x,y,z'
loop_
_atom_site_label
_atom_site_fract_x
_atom_site_fract_y
_atom_site_fract_z
Se1 0.314 0.686 0.686
Cl1 0.500 0.000 0.000
P1 0.000 0.500 0.500
Se2 0.686 0.314 0.314
```

---

Quick look at relative energies in meV per atom: *P* 341; *Q* 447; *R* 0; *S* 191.